A plane-wave DFT calculation with PBE was carried out for a geometry-optimized ZrCrAu2 structure.

* offset from the most stable computed form: 18 meV per atom
* E_tot: -6.371 eV per atom
* Fermi-level density of states: 1.942 states/eV/f.u.
* calculated volume: 72 Å³ per cell
* magnetization: 3.5 Bohr magnetons per cell
* DFT formation energy: -0.19 eV/atom

Cell: 5.138 5.138 5.138 Å, 132.92 132.64 69.00°
Sites, in units of the cell vectors:
Zr (0.000, 0.000, 0.000)
Cr (0.250, 0.750, 0.500)
Au (0.499, 0.499, 0.000)
Au (0.750, 0.250, 0.500)



A plane-wave DFT calculation with PBE was carried out for a geometry-optimized ZrCr2Au structure.

* offset from the most stable computed form: 75 meV per atom
* E_tot: -7.717 eV per atom
* Fermi-level density of states: 2.547 states/eV/f.u.
* calculated volume: 68 Å³ per cell
* magnetization: 0.3 Bohr magnetons per cell
* DFT formation energy: 0.05 eV/atom

Cell: 4.935 4.935 4.935 Å, 130.65 130.30 72.65°
Sites, in units of the cell vectors:
Zr (0.000, 0.000, 0.000)
Cr (0.502, 0.502, 0.000)
Cr (0.749, 0.249, 0.500)
Au (0.251, 0.751, 0.500)



A plane-wave DFT calculation with PBE was carried out for a geometry-optimized ZrCrAu2 structure.

* offset from the most stable computed form: 311 meV per atom
* E_tot: -6.078 eV per atom
* Fermi-level density of states: 4.500 states/eV/f.u.
* calculated volume: 76 Å³ per cell
* magnetization: 4.3 Bohr magnetons per cell
* DFT formation energy: 0.10 eV/atom

Cell: 9.286 9.286 9.286 Å, 19.24 19.24 19.24°
Sites, in units of the cell vectors:
Zr (0.000, 0.000, 0.000)
Cr (0.500, 0.500, 0.500)
Au (0.246, 0.246, 0.246)
Au (0.754, 0.754, 0.754)



A plane-wave DFT calculation with PBE was carried out for a geometry-optimized ZrCrAu3 structure.

* offset from the most stable computed form: 0 meV per atom
* E_tot: -4.813 eV per atom
* Fermi-level density of states: 7.567 states/eV/f.u.
* calculated volume: 108 Å³ per cell
* magnetization: 0.0 Bohr magnetons per cell
* DFT formation energy: 0.79 eV/atom

Cell: 4.759 4.759 4.759 Å, 90.00 90.00 90.00°
Sites, in units of the cell vectors:
Zr (0.000, 0.000, 0.000)
Cr (0.500, 0.500, 0.500)
Au (0.000, 0.500, 0.500)
Au (0.500, 0.000, 0.500)
Au (0.500, 0.500, 0.000)



A plane-wave DFT calculation with PBE was carried out for a geometry-optimized ZrCr2Au structure.

* offset from the most stable computed form: 92 meV per atom
* E_tot: -7.700 eV per atom
* Fermi-level density of states: 2.705 states/eV/f.u.
* calculated volume: 69 Å³ per cell
* magnetization: 0.9 Bohr magnetons per cell
* DFT formation energy: 0.07 eV/atom

Cell: 4.609 4.609 4.609 Å, 60.00 60.00 60.00°
Sites, in units of the cell vectors:
Zr (0.000, 0.000, 0.000)
Cr (0.250, 0.250, 0.250)
Cr (0.500, 0.500, 0.500)
Au (0.750, 0.750, 0.750)



A plane-wave DFT calculation with PBE was carried out for a geometry-optimized ZrCrAu2 structure.

* offset from the most stable computed form: 355 meV per atom
* E_tot: -6.034 eV per atom
* Fermi-level density of states: 3.687 states/eV/f.u.
* calculated volume: 75 Å³ per cell
* magnetization: 3.2 Bohr magnetons per cell
* DFT formation energy: 0.15 eV/atom

Cell: 9.297 9.297 9.297 Å, 19.10 19.10 19.10°
Sites, in units of the cell vectors:
Zr (0.000, 0.000, 0.000)
Cr (0.249, 0.249, 0.249)
Au (0.505, 0.505, 0.505)
Au (0.752, 0.752, 0.752)



A plane-wave DFT calculation with PBE was carried out for a geometry-optimized ZrCr2Au structure.

* offset from the most stable computed form: 265 meV per atom
* E_tot: -7.527 eV per atom
* Fermi-level density of states: 3.111 states/eV/f.u.
* calculated volume: 70 Å³ per cell
* magnetization: 6.4 Bohr magnetons per cell
* DFT formation energy: 0.24 eV/atom

Cell: 3.324 3.324 6.337 Å, 90.00 90.00 90.00°
Sites, in units of the cell vectors:
Zr (0.000, 0.000, 0.000)
Cr (0.500, 0.500, 0.263)
Cr (0.500, 0.500, 0.737)
Au (0.000, 0.000, 0.500)



A plane-wave DFT calculation with PBE was carried out for a geometry-optimized ZrCrAu2 structure.

* offset from the most stable computed form: 59 meV per atom
* E_tot: -6.330 eV per atom
* Fermi-level density of states: 2.996 states/eV/f.u.
* calculated volume: 73 Å³ per cell
* magnetization: 2.7 Bohr magnetons per cell
* DFT formation energy: -0.15 eV/atom

Cell: 3.495 3.495 5.981 Å, 90.00 90.00 90.00°
Sites, in units of the cell vectors:
Zr (0.000, 0.000, 0.000)
Cr (0.500, 0.500, 0.736)
Au (0.000, 0.000, 0.516)
Au (0.500, 0.500, 0.253)



Repeat the third record exactly.
A plane-wave DFT calculation with PBE was carried out for a geometry-optimized ZrCrAu2 structure.

* offset from the most stable computed form: 311 meV per atom
* E_tot: -6.078 eV per atom
* Fermi-level density of states: 4.500 states/eV/f.u.
* calculated volume: 76 Å³ per cell
* magnetization: 4.3 Bohr magnetons per cell
* DFT formation energy: 0.10 eV/atom

Cell: 9.286 9.286 9.286 Å, 19.24 19.24 19.24°
Sites, in units of the cell vectors:
Zr (0.000, 0.000, 0.000)
Cr (0.500, 0.500, 0.500)
Au (0.246, 0.246, 0.246)
Au (0.754, 0.754, 0.754)



What is the formula in the eighth record?
ZrCrAu2



DFT formation energy of number 7 (ZrCr2Au)?
0.24 eV/atom



Look up the calculated volume of the eighth one.
73 Å³ per cell